Crystalline K2Hf2Bi2Sb at its relaxed geometry. Source: Alexandria via LeMat-Bulk, functional PBE.

a b c (Å): 5.3547 5.3547 9.8256
angles (deg): 105.81 105.81 90.00
Atoms (fractional coordinates):
Bi (0.3943, 0.3943, 0.7885)
Bi (0.6057, 0.6057, 0.2115)
K (0.1862, 0.1862, 0.3725)
K (0.8138, 0.8138, 0.6275)
Hf (0.0000, 0.5000, 0.0000)
Hf (0.5000, 0.0000, 0.0000)
Sb (0.0000, 0.0000, 0.0000)

Spin magnetization = 0.9 Bohr magnetons per cell
Uncorrected formation energy = -0.13 eV/atom

=====

Crystalline Al2SiHg at its relaxed geometry. Source: Alexandria via LeMat-Bulk, functional PBE.

a b c (Å): 3.3979 2.9554 7.5551
angles (deg): 87.26 90.00 90.00
Atoms (fractional coordinates):
Al (0.0000, 0.2804, 0.5512)
Al (0.0000, 0.2196, 0.9488)
Si (0.5000, 0.7500, 0.7500)
Hg (0.5000, 0.2500, 0.2500)

Spin magnetization = 0.0 Bohr magnetons per cell
Uncorrected formation energy = 0.17 eV/atom
Energy above the most stable polymorph in this dataset = 0 meV/atom

=====

Crystalline CsIr3S at its relaxed geometry. Source: Alexandria via LeMat-Bulk, functional PBE.

a b c (Å): 5.0307 5.0307 5.0307
angles (deg): 90.00 90.00 90.00
Atoms (fractional coordinates):
Cs (0.0000, 0.0000, 0.0000)
S (0.5000, 0.5000, 0.5000)
Ir (0.0000, 0.5000, 0.0000)
Ir (0.0000, 0.0000, 0.5000)
Ir (0.5000, 0.0000, 0.0000)

Spin magnetization = 2.2 Bohr magnetons per cell
Uncorrected formation energy = 3.42 eV/atom
Energy above the most stable polymorph in this dataset = 2299 meV/atom

=====

Crystalline Pm2PuZn at its relaxed geometry. Source: Alexandria via LeMat-Bulk, functional PBE.

a b c (Å): 3.6121 3.6121 8.5696
angles (deg): 90.00 90.00 90.00
Atoms (fractional coordinates):
Pu (0.5000, 0.5000, 0.5000)
Zn (0.5000, 0.5000, 0.0000)
Pm (0.0000, 0.0000, 0.2127)
Pm (0.0000, 0.0000, 0.7873)

Spin magnetization = 6.5 Bohr magnetons per cell
Energy of formation = -0.050 eV/atom
Energy above the most stable polymorph in this dataset = 0 meV/atom

=====

Crystalline CsCoSn3 at its relaxed geometry. Source: Alexandria via LeMat-Bulk, functional PBE.

a b c (Å): 6.1646 6.1646 6.1646
angles (deg): 90.00 90.00 90.00
Atoms (fractional coordinates):
Co (0.5000, 0.5000, 0.5000)
Sn (0.5000, 0.0000, 0.0000)
Sn (0.0000, 0.5000, 0.0000)
Sn (0.0000, 0.0000, 0.5000)
Cs (0.0000, 0.0000, 0.0000)

Spin magnetization = 2.2 Bohr magnetons per cell
Energy of formation = 2.058 eV/atom

=====

Crystalline Ac7Pr4Y at its relaxed geometry. Source: Alexandria via LeMat-Bulk, functional PBE.

a b c (Å): 7.7464 10.2784 9.6898
angles (deg): 81.02 89.64 41.02
Atoms (fractional coordinates):
Ac (0.2184, 0.7812, 0.6684)
Ac (0.7470, 0.5033, 0.0042)
Ac (0.9716, 0.2820, 0.6655)
Ac (0.0284, 0.7180, 0.3345)
Ac (0.2530, 0.4967, 0.9958)
Ac (0.5000, 0.0000, 0.0000)
Ac (0.7816, 0.2188, 0.3316)
Pr (0.2805, 0.2204, 0.3338)
Pr (0.5246, 0.7253, 0.3301)
Pr (0.4754, 0.2747, 0.6699)
Pr (0.7195, 0.7796, 0.6662)
Y (0.0000, 0.0000, 0.0000)

Spin magnetization = 0.0 Bohr magnetons per cell
Energy of formation = 0.032 eV/atom

=====

Crystalline InTeIO4 at its relaxed geometry. Source: Alexandria via LeMat-Bulk, functional PBE.

a b c (Å): 6.7475 6.7475 6.6721
angles (deg): 75.94 75.94 63.57
Atoms (fractional coordinates):
I (0.9819, 0.9819, 0.7530)
I (0.0181, 0.0181, 0.2470)
In (0.7469, 0.7469, 0.1114)
In (0.2531, 0.2531, 0.8886)
O (0.4983, 0.1209, 0.1304)
O (0.4655, 0.4655, 0.7589)
O (0.5017, 0.8791, 0.8696)
O (0.2706, 0.2706, 0.5566)
O (0.8791, 0.5017, 0.8696)
O (0.5345, 0.5345, 0.2411)
O (0.1209, 0.4983, 0.1304)
O (0.7294, 0.7294, 0.4434)
Te (0.6315, 0.6315, 0.7193)
Te (0.3685, 0.3685, 0.2807)

Spin magnetization = 0.0 Bohr magnetons per cell
Uncorrected formation energy = -0.73 eV/atom

=====

Crystalline BeRh2Pb at its relaxed geometry. Source: Alexandria via LeMat-Bulk, functional PBE.

a b c (Å): 4.4474 4.4474 4.4474
angles (deg): 60.00 60.00 60.00
Atoms (fractional coordinates):
Pb (0.7500, 0.7500, 0.7500)
Rh (0.2500, 0.2500, 0.2500)
Rh (0.0000, 0.0000, 0.0000)
Be (0.5000, 0.5000, 0.5000)

Spin magnetization = 0.0 Bohr magnetons per cell
Energy of formation = 0.263 eV/atom
Energy above the most stable polymorph in this dataset = 370 meV/atom

=====

Crystalline LiAcIn3 at its relaxed geometry. Source: Alexandria via LeMat-Bulk, functional PBE.

a b c (Å): 4.7021 4.7021 6.8405
angles (deg): 110.10 110.10 90.00
Atoms (fractional coordinates):
In (0.4190, 0.4190, 0.8380)
In (0.7575, 0.2575, 0.5151)
In (0.2575, 0.7575, 0.5151)
Li (0.6385, 0.6385, 0.2769)
Ac (0.0177, 0.0177, 0.0355)

Spin magnetization = 0.0 Bohr magnetons per cell
Energy of formation = -0.399 eV/atom
Energy above the most stable polymorph in this dataset = 0 meV/atom

=====

Crystalline AcThGe2O8 at its relaxed geometry. Source: Alexandria via LeMat-Bulk, functional PBE.

a b c (Å): 6.2344 6.2344 6.2344
angles (deg): 107.08 107.08 114.36
Atoms (fractional coordinates):
Ge (0.5000, 0.5000, 0.0000)
Ge (0.7500, 0.2500, 0.5000)
O (0.3955, 0.0814, 0.3140)
O (0.9186, 0.2326, 0.3140)
O (0.7674, 0.0814, 0.6860)
O (0.8543, 0.6820, 0.1723)
O (0.3180, 0.1457, 0.8277)
O (0.5097, 0.6820, 0.8277)
O (0.9186, 0.6045, 0.6860)
O (0.3180, 0.4903, 0.1723)
Ac (0.2500, 0.7500, 0.5000)
Th (0.0000, 0.0000, 0.0000)

Spin magnetization = 0.0 Bohr magnetons per cell
Uncorrected formation energy = -2.48 eV/atom

=====

Crystalline LiCe3Tl3S8 at its relaxed geometry. Source: Alexandria via LeMat-Bulk, functional PBE.

a b c (Å): 8.1339 8.1327 8.7394
angles (deg): 117.72 90.00 120.01
Atoms (fractional coordinates):
S (0.2349, 0.4699, 0.6913)
S (0.7346, 0.4692, 0.7039)
S (0.2654, 0.5308, 0.2961)
S (0.7212, 0.9563, 0.6915)
S (0.7651, 0.5301, 0.3087)
S (0.7649, 0.0437, 0.3085)
S (0.2351, 0.9563, 0.6915)
S (0.2788, 0.0437, 0.3085)
Tl (0.0000, 0.5000, 0.0000)
Tl (0.5000, 0.5000, 0.0000)
Tl (0.0000, 0.0000, 0.0000)
Ce (0.5000, 0.5000, 0.5000)
Ce (0.5000, 0.0000, 0.5000)
Ce (0.0000, 0.5000, 0.5000)
Li (0.0000, 0.0000, 0.5000)

Spin magnetization = 0.0 Bohr magnetons per cell
Uncorrected formation energy = -1.28 eV/atom

=====

Crystalline Ba2ZnIn4Hg3 at its relaxed geometry. Source: Alexandria via LeMat-Bulk, functional PBE.

a b c (Å): 4.9340 4.9340 12.0230
angles (deg): 90.00 90.00 90.00
Atoms (fractional coordinates):
Ba (0.0000, 0.5000, 0.7422)
Ba (0.5000, 0.0000, 0.2578)
In (0.0000, 0.0000, 0.0000)
In (0.5000, 0.0000, 0.6222)
In (0.5000, 0.5000, 0.0000)
In (0.0000, 0.5000, 0.3778)
Hg (0.0000, 0.5000, 0.1405)
Hg (0.5000, 0.0000, 0.8595)
Hg (0.0000, 0.0000, 0.5000)
Zn (0.5000, 0.5000, 0.5000)

Spin magnetization = 0.0 Bohr magnetons per cell
Energy of formation = -0.345 eV/atom

=====

Crystalline CaMnBe2 at its relaxed geometry. Source: Alexandria via LeMat-Bulk, functional PBE.

a b c (Å): 4.2926 4.2926 4.2926
angles (deg): 60.00 60.00 60.00
Atoms (fractional coordinates):
Be (0.2500, 0.2500, 0.2500)
Be (0.7500, 0.7500, 0.7500)
Ca (0.0000, 0.0000, 0.0000)
Mn (0.5000, 0.5000, 0.5000)

Spin magnetization = 0.0 Bohr magnetons per cell
Energy of formation = 0.736 eV/atom
Energy above the most stable polymorph in this dataset = 563 meV/atom

=====

Crystalline FeCu2 at its relaxed geometry. Source: Alexandria via LeMat-Bulk, functional PBE.

a b c (Å): 5.2159 3.5378 7.7650
angles (deg): 90.00 90.00 90.00
Atoms (fractional coordinates):
Fe (0.1172, 0.2500, 0.9260)
Fe (0.6172, 0.2500, 0.5740)
Fe (0.8828, 0.7500, 0.0740)
Fe (0.3828, 0.7500, 0.4260)
Cu (0.6202, 0.2500, 0.9136)
Cu (0.3687, 0.7500, 0.7532)
Cu (0.8798, 0.7500, 0.4136)
Cu (0.8687, 0.7500, 0.7468)
Cu (0.1313, 0.2500, 0.2532)
Cu (0.6313, 0.2500, 0.2468)
Cu (0.1202, 0.2500, 0.5864)
Cu (0.3798, 0.7500, 0.0864)

Spin magnetization = 10.6 Bohr magnetons per cell
Energy of formation = 0.131 eV/atom

=====

Crystalline BaScCl2 at its relaxed geometry. Source: Alexandria via LeMat-Bulk, functional PBE.

a b c (Å): 6.0351 6.0351 6.0351
angles (deg): 144.29 110.21 80.94
Atoms (fractional coordinates):
Cl (0.0478, 0.0478, 0.0000)
Cl (0.4522, 0.4522, 0.0000)
Ba (0.7500, 0.2500, 0.5000)
Sc (0.2500, 0.7500, 0.5000)

Spin magnetization = 0.6 Bohr magnetons per cell
Uncorrected formation energy = -1.30 eV/atom
Energy above the most stable polymorph in this dataset = 58 meV/atom

=====

Crystalline LiNbH2Cl at its relaxed geometry. Source: Alexandria via LeMat-Bulk, functional PBE.

a b c (Å): 3.7079 5.0530 3.7079
angles (deg): 90.00 90.00 90.00
Atoms (fractional coordinates):
Nb (0.0000, 0.0000, 0.0000)
H (0.0000, 0.0000, 0.5000)
H (0.5000, 0.0000, 0.0000)
Li (0.5000, 0.5000, 0.5000)
Cl (0.0000, 0.5000, 0.0000)

Spin magnetization = 1.7 Bohr magnetons per cell
Calculated total energy = -4.296 eV/atom

=====

Crystalline TlReSi4 at its relaxed geometry. Source: Alexandria via LeMat-Bulk, functional PBE.

a b c (Å): 5.1482 5.1482 5.1482
angles (deg): 60.00 60.00 60.00
Atoms (fractional coordinates):
Re (0.0000, 0.0000, 0.0000)
Si (0.3731, 0.3731, 0.3731)
Si (0.3731, 0.8808, 0.3731)
Si (0.3731, 0.3731, 0.8808)
Si (0.8808, 0.3731, 0.3731)
Tl (0.7500, 0.7500, 0.7500)

Spin magnetization = 0.0 Bohr magnetons per cell
Uncorrected formation energy = 0.85 eV/atom

=====

Crystalline BaY2 at its relaxed geometry. Source: Alexandria via LeMat-Bulk, functional PBE.

a b c (Å): 8.3752 8.3752 5.3644
angles (deg): 90.00 90.00 141.80
Atoms (fractional coordinates):
Y (0.7495, 0.2505, 0.7500)
Y (0.5927, 0.4073, 0.2500)
Y (0.2505, 0.7495, 0.2500)
Y (0.4073, 0.5927, 0.7500)
Ba (0.0898, 0.9102, 0.7500)
Ba (0.9102, 0.0898, 0.2500)

Spin magnetization = 0.0 Bohr magnetons per cell
Energy of formation = 0.262 eV/atom
Energy above the most stable polymorph in this dataset = 101 meV/atom

=====

Crystalline SrCuMo2 at its relaxed geometry. Source: Alexandria via LeMat-Bulk, functional PBE.

a b c (Å): 3.4263 3.4897 7.1156
angles (deg): 90.00 90.00 90.00
Atoms (fractional coordinates):
Cu (0.5000, 0.5000, 0.7500)
Mo (0.0000, 0.0000, 0.9034)
Mo (0.0000, 0.0000, 0.5966)
Sr (0.5000, 0.5000, 0.2500)

Spin magnetization = 0.0 Bohr magnetons per cell
Energy of formation = 0.744 eV/atom
Energy above the most stable polymorph in this dataset = 282 meV/atom

=====

Crystalline Y4In5 at its relaxed geometry. Source: Alexandria via LeMat-Bulk, functional PBE.

a b c (Å): 9.2790 9.2790 6.4781
angles (deg): 90.00 90.00 120.00
Atoms (fractional coordinates):
In (0.6667, 0.3333, 0.5000)
In (0.0000, 0.3004, 0.7500)
In (0.6996, 0.0000, 0.2500)
In (0.0000, 0.6996, 0.2500)
In (0.6996, 0.6996, 0.7500)
In (0.6667, 0.3333, 0.0000)
In (0.3333, 0.6667, 0.0000)
In (0.3004, 0.0000, 0.7500)
In (0.3333, 0.6667, 0.5000)
In (0.3004, 0.3004, 0.2500)
Y (0.6320, 0.0000, 0.7500)
Y (0.0000, 0.3680, 0.2500)
Y (0.0000, 0.0000, 0.5000)
Y (0.0000, 0.6320, 0.7500)
Y (0.0000, 0.0000, 0.0000)
Y (0.6320, 0.6320, 0.2500)
Y (0.3680, 0.0000, 0.2500)
Y (0.3680, 0.3680, 0.7500)

Spin magnetization = 0.0 Bohr magnetons per cell
Energy of formation = -0.431 eV/atom